a:
Computed, not measured: a relaxed structure of RbZrH2 at the PBE-GGA level of DFT.

a = 6.0176 Å, b = 6.0176 Å, c = 6.0047 Å
α = 59.93°, β = 59.93°, γ = 90.00°
Atoms (fractional coordinates):
H  0.7558  0.1250  0.2500
H  0.9942  0.6250  0.2500
H  0.3750  0.2442  0.7500
H  0.8750  0.0058  0.7500
Rb  0.5000  0.5000  0.0000
Rb  0.2500  0.7500  0.5000
Zr  0.0000  0.0000  0.0000
Zr  0.7500  0.2500  0.5000

Results
total moment	0.0	μB/cell

***

b:
Computed, not measured: a relaxed structure of RbZrH2 at the PBE-GGA level of DFT.

a = 4.6215 Å, b = 4.6215 Å, c = 4.6215 Å
α = 60.00°, β = 60.00°, γ = 60.00°
Each line ends with the local moment (μB).
Atoms (fractional coordinates):
H  0.2500  0.2500  0.2500  -0.03
H  0.7500  0.7500  0.7500  -0.03
Rb  0.0000  0.0000  0.0000  0.13
Zr  0.5000  0.5000  0.5000  1.71

Results
total moment	2.9	μB/cell

***

In order of decreasing stability: a, b.

***

a:
Computed, not measured: a relaxed structure of RbZr2H at the PBE-GGA level of DFT.

a = 5.0294 Å, b = 5.0294 Å, c = 5.0294 Å
α = 60.00°, β = 60.00°, γ = 60.00°
Each line ends with the local moment (μB).
Atoms (fractional coordinates):
H  0.0000  0.0000  0.0000  -0.02
Rb  0.5000  0.5000  0.5000  0.08
Zr  0.2500  0.2500  0.2500  0.43
Zr  0.7500  0.7500  0.7500  0.43

Results
total moment	1.5	μB/cell

***

b:
Computed, not measured: a relaxed structure of RbZr2H at the PBE-GGA level of DFT.

a = 6.6332 Å, b = 6.6332 Å, c = 6.6345 Å
α = 60.01°, β = 60.01°, γ = 90.00°
Atoms (fractional coordinates):
H  0.5000  0.5000  0.0000
H  0.2500  0.7500  0.5000
Rb  0.0000  0.0000  0.0000
Rb  0.7500  0.2500  0.5000
Zr  0.3762  0.1250  0.2500
Zr  0.3738  0.6250  0.2500
Zr  0.3750  0.6238  0.7500
Zr  0.8750  0.6262  0.7500

Results
total moment	0.0	μB/cell

***

In order of decreasing stability: b, a.

***

a:
Computed, not measured: a relaxed structure of Re3H at the PBE-GGA level of DFT.

a = 2.8152 Å, b = 4.6677 Å, c = 4.6015 Å
α = 120.48°, β = 107.81°, γ = 90.00°
Atoms (fractional coordinates):
Re  0.3088  0.7252  0.6177
Re  0.5000  0.4165  0.0000
Re  0.6912  0.1075  0.3823
H  0.0000  0.9174  0.0000

Results
total moment	0.0	μB/cell

***

b:
Computed, not measured: a relaxed structure of Re3H at the PBE-GGA level of DFT.

a = 4.2286 Å, b = 4.2286 Å, c = 4.2286 Å
α = 60.00°, β = 60.00°, γ = 60.00°
Atoms (fractional coordinates):
Re  0.2500  0.2500  0.2500
Re  0.7500  0.7500  0.7500
Re  0.5000  0.5000  0.5000
H  0.0000  0.0000  0.0000

Results
total moment	0.0	μB/cell

***

In order of decreasing stability: a, b.

***

a:
Computed, not measured: a relaxed structure of Re2HRh at the PBE-GGA level of DFT.

a = 4.1893 Å, b = 4.1893 Å, c = 4.1893 Å
α = 60.00°, β = 60.00°, γ = 60.00°
Atoms (fractional coordinates):
Re  0.2500  0.2500  0.2500
Re  0.7500  0.7500  0.7500
Rh  0.5000  0.5000  0.5000
H  0.0000  0.0000  0.0000

Results
total moment	0.0	μB/cell

***

b:
Computed, not measured: a relaxed structure of Re2HRh at the PBE-GGA level of DFT.

a = 6.1462 Å, b = 6.1462 Å, c = 5.0350 Å
α = 52.39°, β = 52.39°, γ = 90.00°
Atoms (fractional coordinates):
Re  0.5294  0.1250  0.2500
Re  0.2206  0.6250  0.2500
Re  0.3750  0.4706  0.7500
Re  0.8750  0.7794  0.7500
Rh  0.0000  0.0000  0.0000
Rh  0.7500  0.2500  0.5000
H  0.5000  0.5000  0.0000
H  0.2500  0.7500  0.5000

Results
total moment	0.0	μB/cell

***

In order of decreasing stability: b, a.

***

a:
Computed, not measured: a relaxed structure of ReHRh2 at the PBE-GGA level of DFT.

a = 2.7370 Å, b = 2.7370 Å, c = 6.3184 Å
α = 90.00°, β = 90.00°, γ = 90.00°
Atoms (fractional coordinates):
Re  0.5000  0.5000  0.5000
Rh  0.0000  0.0000  0.7920
Rh  0.0000  0.0000  0.2080
H  0.5000  0.5000  0.0000

Results
total moment	0.0	μB/cell

***

b:
Computed, not measured: a relaxed structure of ReHRh2 at the PBE-GGA level of DFT.

a = 2.7604 Å, b = 2.7604 Å, c = 7.0681 Å
α = 78.74°, β = 78.74°, γ = 60.00°
Atoms (fractional coordinates):
Re  0.5000  0.5000  0.5000
Rh  0.7275  0.7275  0.8176
Rh  0.2725  0.2725  0.1824
H  0.0000  0.0000  0.0000

Results
total moment	0.0	μB/cell

***

In order of decreasing stability: b, a.

***

a:
Computed, not measured: a relaxed structure of ReHRh2 at the PBE-GGA level of DFT.

a = 6.1050 Å, b = 6.1050 Å, c = 5.0106 Å
α = 52.47°, β = 52.47°, γ = 90.00°
Atoms (fractional coordinates):
Re  0.0000  0.0000  0.0000
Re  0.7500  0.2500  0.5000
Rh  0.5223  0.1250  0.2500
Rh  0.2277  0.6250  0.2500
Rh  0.3750  0.4777  0.7500
Rh  0.8750  0.7723  0.7500
H  0.5000  0.5000  0.0000
H  0.2500  0.7500  0.5000

Results
total moment	0.0	μB/cell

***

b:
Computed, not measured: a relaxed structure of ReHRh2 at the PBE-GGA level of DFT.

a = 4.1841 Å, b = 4.1841 Å, c = 4.1841 Å
α = 60.00°, β = 60.00°, γ = 60.00°
Each line ends with the local moment (μB).
Atoms (fractional coordinates):
Re  0.5000  0.5000  0.5000  0.84
Rh  0.2500  0.2500  0.2500  0.23
Rh  0.7500  0.7500  0.7500  0.23
H  0.0000  0.0000  0.0000  0.04

Results
total moment	1.4	μB/cell

***

In order of decreasing stability: a, b.

***

a:
Computed, not measured: a relaxed structure of Re2HRuRh at the PBE-GGA level of DFT.

a = 3.9147 Å, b = 3.9147 Å, c = 3.9179 Å
α = 90.00°, β = 90.00°, γ = 90.00°
Atoms (fractional coordinates):
Re  0.0000  0.5000  0.0000
Re  0.5000  0.0000  0.0000
Rh  0.0000  0.0000  0.5000
H  0.0000  0.0000  0.0000
Ru  0.5000  0.5000  0.5000

Results
total moment	0.0	μB/cell

***

b:
Computed, not measured: a relaxed structure of Re2HRuRh at the PBE-GGA level of DFT.

a = 3.9132 Å, b = 3.9132 Å, c = 3.9169 Å
α = 90.00°, β = 90.00°, γ = 90.00°
Atoms (fractional coordinates):
Re  0.0000  0.5000  0.0000
Re  0.5000  0.0000  0.0000
Rh  0.5000  0.5000  0.5000
H  0.0000  0.0000  0.0000
Ru  0.0000  0.0000  0.5000

Results
total moment	0.0	μB/cell

***

In order of decreasing stability: b, a.

***

a:
Computed, not measured: a relaxed structure of TaRe2HRh at the PBE-GGA level of DFT.

a = 3.9446 Å, b = 3.9446 Å, c = 4.1039 Å
α = 90.00°, β = 90.00°, γ = 90.00°
Atoms (fractional coordinates):
Re  0.0000  0.5000  0.0000
Re  0.5000  0.0000  0.0000
Rh  0.5000  0.5000  0.5000
H  0.0000  0.0000  0.0000
Ta  0.0000  0.0000  0.5000

Results
total moment	0.0	μB/cell

***

b:
Computed, not measured: a relaxed structure of TaRe2HRh at the PBE-GGA level of DFT.

a = 3.9725 Å, b = 3.9725 Å, c = 4.0434 Å
α = 90.00°, β = 90.00°, γ = 90.00°
Atoms (fractional coordinates):
Re  0.0000  0.5000  0.0000
Re  0.5000  0.0000  0.0000
Rh  0.0000  0.0000  0.5000
H  0.0000  0.0000  0.0000
Ta  0.5000  0.5000  0.5000

Results
total moment	0.0	μB/cell

***

c:
Computed, not measured: a relaxed structure of TaRe2HRh at the PBE-GGA level of DFT.

a = 4.8059 Å, b = 4.7353 Å, c = 4.8059 Å
α = 90.00°, β = 90.00°, γ = 90.00°
Each line ends with the local moment (μB).
Atoms (fractional coordinates):
Re  0.0000  0.0000  0.5000  0.01
Re  0.5000  0.0000  0.0000  0.07
Rh  0.0000  0.5000  0.0000  0.06
H  0.5000  0.5000  0.5000  0.15
Ta  0.0000  0.0000  0.0000  0.01

Results
total moment	0.5	μB/cell

***

In order of decreasing stability: b, a, c.